An optimized crystal structure of LaMgNb2Tl. Source: Alexandria, functional PBE-GGA.

Properties
V   136.43 Å³/cell
ΔE_f   1.266 eV per atom

Cell lengths 4.9916, 4.9916, 5.4754 Å; angles 90.00, 90.00, 90.00 degrees
With the nearest neighbours (Å) after each atom.
Space group P4/mmm (No. 123)
Inequivalent atoms, fractional coordinates:
La1 0.0000 0.0000 0.0000 [1 per cell]  2 Mg 2.74
Mg1 0.0000 0.0000 0.5000 [1 per cell]  4 Nb 2.50, 2 La 2.74
Nb1 0.0000 0.5000 0.5000 [2 per cell]  2 Mg 2.50
Tl1 0.5000 0.5000 0.0000 [1 per cell]  4 La 3.53, 8 Nb 3.70

***

An optimized crystal structure of LaY2MgNb. Source: Alexandria, functional PBE-GGA.

Properties
V   173.69 Å³/cell
ΔE_f   1.152 eV per atom

Cell lengths 5.5199, 5.5199, 5.7007 Å; angles 90.00, 90.00, 90.00 degrees
With the nearest neighbours (Å) after each atom.
Space group P4/mmm (No. 123)
Inequivalent atoms, fractional coordinates:
La1 0.0000 0.0000 0.0000 [1 per cell]  2 Mg 2.85
Y1 0.0000 0.5000 0.5000 [2 per cell]  2 Mg 2.76
Mg1 0.0000 0.0000 0.5000 [1 per cell]  4 Y 2.76, 2 La 2.85
Nb1 0.5000 0.5000 0.0000 [1 per cell]  4 La 3.90, 8 Y 3.97

***

An optimized crystal structure of La8Nd2Mg. Source: Alexandria, functional PBE-GGA.

Properties
V   792.30 Å³/cell
ΔE_f   0.044 eV per atom

Cell lengths 17.4464, 5.7452, 9.0449 Å; angles 90.00, 119.08, 90.00 degrees
With the nearest neighbours (Å) after each atom.
Space group C2/m (No. 12)
Inequivalent atoms, fractional coordinates:
La1 0.0713 0.0000 0.2188 [4 per cell]  1 Nd 3.46, 6 La 3.48-3.67
La2 0.0789 0.5000 0.9310 [4 per cell]  3 Nd 3.43-3.73, 1 Mg 3.45, 3 La 3.53-3.67
La3 0.1232 0.0000 0.6624 [4 per cell]  2 Mg 3.46, 3 Nd 3.50-3.71, 2 La 3.66-3.85
La4 0.1799 0.5000 0.4362 [4 per cell]  1 Mg 3.46, 4 La 3.48-3.58, 1 Nd 3.66
Nd1 0.2342 0.0000 0.1056 [4 per cell]  8 La 3.43-3.73, 2 Nd 3.64
Mg1 0.0000 0.5000 0.5000 [2 per cell]  8 La 3.45-3.46

***

An optimized crystal structure of La7Nd3Mg. Source: Alexandria, functional PBE-GGA.

Properties
V   405.21 Å³/cell
ΔE_f   0.150 eV per atom

Cell lengths 7.2709, 7.2709, 8.8507 Å; angles 90.00, 90.00, 120.00 degrees
With the nearest neighbours (Å) after each atom.
Space group P3m1 (No. 156)
Inequivalent atoms, fractional coordinates:
La1 0.0000 0.0000 0.0000 [1 per cell]  9 La 3.60-3.64, 3 Nd 3.62
La2 0.9997 0.4999 0.0028 [3 per cell]  1 Mg 3.61, 2 Nd 3.62, 8 La 3.63-3.64
La3 0.1650 0.3299 0.6679 [3 per cell]  7 La 3.60-3.67, 2 Nd 3.60, 2 Mg 3.64
Nd1 0.3305 0.1653 0.3353 [3 per cell]  5 La 3.60-3.62, 4 Nd 3.60-3.67, 1 Mg 3.65
Mg1 0.6667 0.3333 0.6709 [1 per cell]  9 La 3.61-3.64, 3 Nd 3.65

***

An optimized crystal structure of La8Nd3Mg2. Source: Alexandria, functional PBE-GGA.

Properties
V   452.95 Å³/cell
ΔE_f   0.070 eV per atom

Cell lengths 6.5871, 8.1534, 8.8359 Å; angles 88.90, 82.25, 74.46 degrees
With the nearest neighbours (Å) after each atom.
Space group P-1 (No. 2)
Inequivalent atoms, fractional coordinates:
La1 0.1030 0.1865 0.2260 [2 per cell]  3 Nd 3.20-3.54, 2 La 3.43-3.48, 1 Mg 3.52
La2 0.1635 0.7554 0.2100 [2 per cell]  2 Nd 3.29-3.47, 3 La 3.43-3.56, 2 Mg 3.50-3.53
La3 0.2665 0.4264 0.5601 [2 per cell]  1 Nd 3.59, 6 La 3.62-3.99, 2 Mg 3.64-3.78
La4 0.3728 0.0942 0.8579 [2 per cell]  5 La 3.33-3.58, 2 Nd 3.39-3.68, 1 Mg 3.60
Nd1 0.0000 0.5000 0.0000 [1 per cell]  4 La 3.20-3.29
Nd2 0.2753 0.9276 0.5348 [2 per cell]  5 La 3.36-3.59, 2 Nd 3.45-3.63, 1 Mg 3.70
Mg1 0.4590 0.6394 0.8465 [2 per cell]  8 La 3.50-3.88, 1 Mg 3.51, 3 Nd 3.60-3.86

***

An optimized crystal structure of La2NdMg. Source: Alexandria, functional PBE-GGA.

Properties
V   535.16 Å³/cell
ΔE_f   -0.046 eV per atom

Cell lengths 5.3785, 5.3785, 18.4999 Å; angles 90.00, 90.00, 90.00 degrees
With the nearest neighbours (Å) after each atom.
Space group I4/mmm (No. 139)
Inequivalent atoms, fractional coordinates:
La1 0.0000 0.0000 0.1357 [4 per cell]  4 Mg 3.42, 4 La 3.68, 4 Nd 3.80
La2 0.0000 0.5000 0.0000 [4 per cell]  8 La 3.68-3.80, 4 Nd 3.71
Nd1 0.0000 0.0000 0.3615 [4 per cell]  4 Mg 3.39, 4 La 3.71
Mg1 0.0000 0.5000 0.2500 [4 per cell]  4 Nd 3.39, 4 La 3.42

***

An optimized crystal structure of La4Nd5Mg. Source: Alexandria, functional PBE-GGA.

Properties
V   348.20 Å³/cell
ΔE_f   -0.012 eV per atom

Cell lengths 3.7475, 3.7475, 24.7936 Å; angles 90.00, 90.00, 90.00 degrees
With the nearest neighbours (Å) after each atom.
Space group P4/mmm (No. 123)
Inequivalent atoms, fractional coordinates:
La1 0.0000 0.0000 0.1040 [2 per cell]  8 Nd 3.70, 4 La 3.75
La2 0.0000 0.0000 0.3129 [2 per cell]  8 Nd 3.67-3.71, 4 La 3.75
Nd1 0.5000 0.5000 0.0000 [1 per cell]  8 La 3.70, 4 Nd 3.75
Nd2 0.5000 0.5000 0.2083 [2 per cell]  8 La 3.70-3.71, 4 Nd 3.75
Nd3 0.5000 0.5000 0.4152 [2 per cell]  4 Mg 3.38, 4 La 3.67, 4 Nd 3.75
Mg1 0.0000 0.0000 0.5000 [1 per cell]  8 Nd 3.38, 4 Mg 3.75

***

An optimized crystal structure of La6Nd8Mg. Source: Alexandria, functional PBE-GGA.

Properties
V   1584.23 Å³/cell
ΔE_f   0.009 eV per atom

Cell lengths 6.3998, 6.3998, 44.6641 Å; angles 90.00, 90.00, 120.00 degrees
With the nearest neighbours (Å) after each atom.
Space group R-3 (No. 148, hexagonal axes)
Inequivalent atoms, fractional coordinates:
La1 0.0002 0.3298 0.4340 [18 per cell]  1 Mg 3.63, 5 Nd 3.65-3.69, 6 La 3.65-3.72
Nd1 0.0000 0.0000 0.1666 [6 per cell]  6 La 3.65, 3 Mg 3.69, 3 Nd 3.69
Nd2 0.9997 0.3344 0.6333 [18 per cell]  9 Nd 3.67-3.71, 3 La 3.68-3.69
Mg1 0.0000 0.0000 0.5000 [3 per cell]  6 La 3.63, 6 Nd 3.69

***

An optimized crystal structure of La6NdMg. Source: Alexandria, functional PBE-GGA.

Properties
V   279.74 Å³/cell
ΔE_f   -0.010 eV per atom

Cell lengths 5.1939, 5.1939, 10.3696 Å; angles 90.00, 90.00, 90.00 degrees
With the nearest neighbours (Å) after each atom.
Space group P4/mmm (No. 123)
Inequivalent atoms, fractional coordinates:
La1 0.0000 0.0000 0.0000 [1 per cell]  8 La 3.65, 4 Mg 3.67
La2 0.0000 0.0000 0.5000 [1 per cell]  4 Nd 3.67, 8 La 3.69
La3 0.0000 0.5000 0.2470 [4 per cell]  8 La 3.65-3.69, 2 Mg 3.65, 2 Nd 3.69
Nd1 0.5000 0.5000 0.5000 [1 per cell]  12 La 3.67-3.69
Mg1 0.5000 0.5000 0.0000 [1 per cell]  12 La 3.65-3.67

***

An optimized crystal structure of La3Nd8Mg. Source: Alexandria, functional PBE-GGA.

Properties
V   898.56 Å³/cell
ΔE_f   0.470 eV per atom

Cell lengths 8.8173, 8.8173, 11.5579 Å; angles 90.00, 90.00, 90.00 degrees
With the nearest neighbours (Å) after each atom.
Space group I-42m (No. 121)
Inequivalent atoms, fractional coordinates:
La1 0.0000 0.0000 0.0000 [2 per cell]  8 Nd 3.16-3.30
La2 0.0000 0.5000 0.2500 [4 per cell]  4 Nd 3.49
Nd1 0.1247 0.1247 0.2518 [8 per cell]  3 Nd 3.11-3.29, 1 Mg 3.26, 1 La 3.30
Nd2 0.2469 0.2469 0.5031 [8 per cell]  1 Mg 3.08, 1 La 3.16, 2 Nd 3.28-3.29
Mg1 0.0000 0.0000 0.5000 [2 per cell]  8 Nd 3.08-3.26

***

An optimized crystal structure of La4Nd3Mg2. Source: Alexandria, functional PBE-GGA.

Properties
V   610.76 Å³/cell
ΔE_f   0.002 eV per atom

Cell lengths 12.3958, 5.6360, 10.6481 Å; angles 90.00, 124.81, 90.00 degrees
With the nearest neighbours (Å) after each atom.
Space group C2/m (No. 12)
Inequivalent atoms, fractional coordinates:
La1 0.0338 0.0000 0.1809 [4 per cell]  1 Mg 3.41, 4 La 3.44-3.73, 3 Nd 3.65-3.75
La2 0.1615 0.5000 0.4220 [4 per cell]  2 Mg 3.29-3.40, 4 La 3.37-3.52
Nd1 0.0000 0.0000 0.5000 [2 per cell]  4 Mg 3.54, 8 La 3.65-3.81
Nd2 0.1798 0.5000 0.0716 [4 per cell]  3 Mg 3.38-3.39, 2 La 3.75
Mg1 0.1578 0.5000 0.7389 [4 per cell]  3 La 3.29-3.41, 5 Nd 3.38-3.54

***

An optimized crystal structure of La2Nd6Mg. Source: Alexandria, functional PBE-GGA.

Properties
V   1238.45 Å³/cell
ΔE_f   0.074 eV per atom

Cell lengths 9.4815, 21.4396, 6.5503 Å; angles 90.00, 111.55, 90.00 degrees
With the nearest neighbours (Å) after each atom.
Space group C2/c (No. 15)
Inequivalent atoms, fractional coordinates:
La1 0.1220 0.1473 0.1033 [8 per cell]  5 Nd 3.46-3.69, 1 La 3.51, 2 Mg 3.65-3.66
Nd1 0.0553 0.4244 0.5351 [8 per cell]  8 Nd 3.35-3.72, 1 Mg 3.45, 1 La 3.47
Nd2 0.1725 0.0388 0.7086 [8 per cell]  8 Nd 3.51-3.79, 2 La 3.63-3.64
Nd3 0.2038 0.2994 0.2856 [8 per cell]  2 Mg 3.34-3.41, 5 Nd 3.37-3.72, 2 La 3.46-3.69
Mg1 0.0000 0.2839 0.7500 [4 per cell]  6 Nd 3.34-3.45, 4 La 3.65-3.66